No. 1
# NaMnTlCl5 | the Alexandria database | PBE | relaxed
# E = -3.909 eV/atom
# E_form (uncorrected) = -1.15 eV/atom
# Theoretical density = 3.09 g/cm3
# Total moment = 4.0 μB/f.u.
data_NaMnTlCl5
_chemical_formula_sum 'Na2 Mn2 Tl2 Cl10'
_cell_length_a 7.798
_cell_length_b 7.798
_cell_length_c 9.696
_cell_angle_alpha 103.44
_cell_angle_beta 103.44
_cell_angle_gamma 112.80
_symmetry_space_group_name_H-M 'P 1'
_symmetry_Int_Tables_number 1
loop_
_symmetry_equiv_pos_as_xyz
'x,y,z'
loop_
_atom_site_label
_atom_site_fract_x
_atom_site_fract_y
_atom_site_fract_z
Na1 0.000 0.000 0.000
Na2 0.000 0.000 0.500
Cl1 0.085 0.915 0.250
Cl2 0.585 0.698 0.933
Cl3 0.698 0.585 0.433
Cl4 0.915 0.085 0.750
Cl5 0.290 0.848 0.609
Cl6 0.152 0.710 0.891
Cl7 0.302 0.415 0.567
Cl8 0.415 0.302 0.067
Cl9 0.848 0.290 0.109
Cl10 0.710 0.152 0.391
Mn1 0.667 0.333 0.250
Mn2 0.333 0.667 0.750
Tl1 0.693 0.307 0.750
Tl2 0.307 0.693 0.250

***

No. 2
# NaMnTlCl6 | the Alexandria database | PBE | relaxed
# E = -3.721 eV/atom
# E_form (uncorrected) = -1.06 eV/atom
# Theoretical density = 3.29 g/cm3
# Total moment = 3.0 μB/f.u.
data_NaMnTlCl6
_chemical_formula_sum 'Na2 Mn2 Tl2 Cl12'
_cell_length_a 7.286
_cell_length_b 7.286
_cell_length_c 10.865
_cell_angle_alpha 90.00
_cell_angle_beta 90.00
_cell_angle_gamma 120.00
_symmetry_space_group_name_H-M 'P 1'
_symmetry_Int_Tables_number 1
loop_
_symmetry_equiv_pos_as_xyz
'x,y,z'
loop_
_atom_site_label
_atom_site_fract_x
_atom_site_fract_y
_atom_site_fract_z
Cl1 0.682 0.597 0.627
Cl2 0.403 0.085 0.627
Cl3 0.403 0.318 0.873
Cl4 0.318 0.915 0.127
Cl5 0.915 0.318 0.627
Cl6 0.915 0.597 0.873
Cl7 0.597 0.682 0.127
Cl8 0.085 0.403 0.127
Cl9 0.085 0.682 0.373
Cl10 0.318 0.403 0.373
Cl11 0.597 0.915 0.373
Cl12 0.682 0.085 0.873
Tl1 0.667 0.333 0.250
Tl2 0.333 0.667 0.750
Mn1 0.667 0.333 0.750
Mn2 0.333 0.667 0.250
Na1 0.000 0.000 0.500
Na2 0.000 0.000 0.000

***

No. 3
# NaMnTl2Cl4 | the Alexandria database | PBE | relaxed
# E = -3.800 eV/atom
# E_form (uncorrected) = -0.97 eV/atom
# Theoretical density = 3.80 g/cm3
# Total moment = 4.8 μB/f.u.
data_NaMnTl2Cl4
_chemical_formula_sum 'Na2 Mn2 Tl4 Cl8'
_cell_length_a 6.589
_cell_length_b 6.898
_cell_length_c 14.157
_cell_angle_alpha 83.62
_cell_angle_beta 76.54
_cell_angle_gamma 61.47
_symmetry_space_group_name_H-M 'P 1'
_symmetry_Int_Tables_number 1
loop_
_symmetry_equiv_pos_as_xyz
'x,y,z'
loop_
_atom_site_label
_atom_site_fract_x
_atom_site_fract_y
_atom_site_fract_z
Mn1 0.250 0.500 0.500
Mn2 0.500 0.000 0.000
Cl1 0.563 0.200 0.105
Cl2 0.237 0.200 0.895
Cl3 0.513 0.300 0.605
Cl4 0.882 0.700 0.605
Cl5 0.868 0.800 0.895
Cl6 0.187 0.300 0.395
Cl7 0.418 0.700 0.395
Cl8 0.332 0.800 0.105
Tl1 0.614 0.500 0.772
Tl2 0.886 0.500 0.228
Tl3 0.864 0.000 0.272
Tl4 0.136 0.000 0.728
Na1 0.000 0.000 0.000
Na2 0.750 0.500 0.500

***

No. 4
# Na3MnTl3Cl8 | the Alexandria database | PBE | relaxed
# E = -3.671 eV/atom
# E_form (uncorrected) = -1.34 eV/atom
# Theoretical density = 3.89 g/cm3
# Total moment = 5.0 μB/f.u.
data_Na3MnTl3Cl8
_chemical_formula_sum 'Na3 Mn1 Tl3 Cl8'
_cell_length_a 8.231
_cell_length_b 8.238
_cell_length_c 8.821
_cell_angle_alpha 117.91
_cell_angle_beta 90.00
_cell_angle_gamma 119.97
_symmetry_space_group_name_H-M 'P 1'
_symmetry_Int_Tables_number 1
loop_
_symmetry_equiv_pos_as_xyz
'x,y,z'
loop_
_atom_site_label
_atom_site_fract_x
_atom_site_fract_y
_atom_site_fract_z
Na1 0.500 0.500 0.500
Na2 0.500 0.000 0.500
Na3 0.000 0.500 0.500
Mn1 0.000 0.000 0.500
Cl1 0.264 0.527 0.291
Cl2 0.215 0.979 0.694
Cl3 0.215 0.430 0.694
Cl4 0.236 0.021 0.306
Cl5 0.764 0.979 0.694
Cl6 0.785 0.570 0.306
Cl7 0.785 0.021 0.306
Cl8 0.736 0.473 0.709
Tl1 0.500 0.500 0.000
Tl2 0.000 0.000 0.000
Tl3 0.000 0.500 0.000

***

No. 5
# NaMnTl2Cl6 | the Alexandria database | PBE | relaxed
# E = -3.790 eV/atom
# E_form (uncorrected) = -1.16 eV/atom
# Theoretical density = 4.27 g/cm3
# Total moment = 4.0 μB/f.u.
data_NaMnTl2Cl6
_chemical_formula_sum 'Na1 Mn1 Tl2 Cl6'
_cell_length_a 7.435
_cell_length_b 7.119
_cell_length_c 7.318
_cell_angle_alpha 61.19
_cell_angle_beta 56.95
_cell_angle_gamma 61.30
_symmetry_space_group_name_H-M 'P 1'
_symmetry_Int_Tables_number 1
loop_
_symmetry_equiv_pos_as_xyz
'x,y,z'
loop_
_atom_site_label
_atom_site_fract_x
_atom_site_fract_y
_atom_site_fract_z
Cl1 0.156 0.033 0.228
Cl2 0.021 0.499 0.314
Cl3 0.539 0.101 0.321
Cl4 0.611 0.133 0.789
Cl5 0.477 0.600 0.875
Cl6 0.093 0.531 0.783
Tl1 0.550 0.545 0.319
Tl2 0.083 0.087 0.784
Na1 0.816 0.816 0.552
Mn1 0.316 0.316 0.051

***

No. 6
# NaTmMnCl6 | the Alexandria database | PBE | relaxed
# E = -4.436 eV/atom
# E_form (uncorrected) = -1.54 eV/atom
# Theoretical density = 3.36 g/cm3
# Total moment = 1.0 μB/f.u.
data_NaTmMnCl6
_chemical_formula_sum 'Na2 Tm2 Mn2 Cl12'
_cell_length_a 6.446
_cell_length_b 6.446
_cell_length_c 12.609
_cell_angle_alpha 90.00
_cell_angle_beta 90.00
_cell_angle_gamma 120.00
_symmetry_space_group_name_H-M 'P 1'
_symmetry_Int_Tables_number 1
loop_
_symmetry_equiv_pos_as_xyz
'x,y,z'
loop_
_atom_site_label
_atom_site_fract_x
_atom_site_fract_y
_atom_site_fract_z
Cl1 0.977 0.344 0.138
Cl2 0.367 0.344 0.362
Cl3 0.023 0.367 0.638
Cl4 0.656 0.633 0.138
Cl5 0.656 0.023 0.362
Cl6 0.977 0.633 0.362
Cl7 0.023 0.656 0.862
Cl8 0.344 0.977 0.638
Cl9 0.633 0.656 0.638
Cl10 0.344 0.367 0.862
Cl11 0.633 0.977 0.862
Cl12 0.367 0.023 0.138
Mn1 0.333 0.667 0.750
Mn2 0.667 0.333 0.250
Na1 0.000 0.000 0.000
Na2 0.000 0.000 0.500
Tm1 0.667 0.333 0.750
Tm2 0.333 0.667 0.250

***

No. 7
# Na2UMnCl8 | the Alexandria database | PBE | relaxed
# E = -4.724 eV/atom
# E_form (uncorrected) = -1.57 eV/atom
# Theoretical density = 3.07 g/cm3
# Total moment = 7.0 μB/f.u.
data_Na2UMnCl8
_chemical_formula_sum 'Na2 U1 Mn1 Cl8'
_cell_length_a 6.553
_cell_length_b 6.354
_cell_length_c 8.125
_cell_angle_alpha 90.00
_cell_angle_beta 90.00
_cell_angle_gamma 95.05
_symmetry_space_group_name_H-M 'P 1'
_symmetry_Int_Tables_number 1
loop_
_symmetry_equiv_pos_as_xyz
'x,y,z'
loop_
_atom_site_label
_atom_site_fract_x
_atom_site_fract_y
_atom_site_fract_z
Mn1 0.000 0.000 0.500
Cl1 0.325 0.270 0.000
Cl2 0.159 0.791 0.756
Cl3 0.675 0.730 0.000
Cl4 0.841 0.209 0.244
Cl5 0.709 0.750 0.500
Cl6 0.159 0.791 0.244
Cl7 0.841 0.209 0.756
Cl8 0.291 0.250 0.500
Na1 0.500 0.500 0.732
Na2 0.500 0.500 0.268
U1 0.000 0.000 0.000

***

No. 8
# NaMnVCl6 | the Alexandria database | PBE | relaxed
# E = -4.714 eV/atom
# E_form (uncorrected) = -1.30 eV/atom
# Theoretical density = 2.60 g/cm3
# Total moment = 7.0 μB/f.u.
data_NaMnVCl6
_chemical_formula_sum 'Na2 Mn2 V2 Cl12'
_cell_length_a 6.377
_cell_length_b 6.377
_cell_length_c 12.402
_cell_angle_alpha 90.00
_cell_angle_beta 90.00
_cell_angle_gamma 120.00
_symmetry_space_group_name_H-M 'P 1'
_symmetry_Int_Tables_number 1
loop_
_symmetry_equiv_pos_as_xyz
'x,y,z'
loop_
_atom_site_label
_atom_site_fract_x
_atom_site_fract_y
_atom_site_fract_z
Cl1 0.645 0.631 0.639
Cl2 0.631 0.986 0.361
Cl3 0.986 0.631 0.861
Cl4 0.986 0.355 0.639
Cl5 0.355 0.986 0.139
Cl6 0.369 0.014 0.639
Cl7 0.014 0.369 0.139
Cl8 0.369 0.355 0.861
Cl9 0.014 0.645 0.361
Cl10 0.631 0.645 0.139
Cl11 0.645 0.014 0.861
Cl12 0.355 0.369 0.361
Mn1 0.667 0.333 0.250
Mn2 0.333 0.667 0.750
V1 0.667 0.333 0.750
V2 0.333 0.667 0.250
Na1 0.000 0.000 0.500
Na2 0.000 0.000 0.000

***

Question: Which of these has the lowest E?
Answer: Na2UMnCl8

***

Question: total moment of number 2 (NaMnTlCl6)?
Answer: 3.0 μB/f.u.

***

Question: Which of these has the lowest E_form (uncorrected)?
Answer: Na2UMnCl8